# 1
! Sr2EuBiO6 PBE optimized geometry; values from VASP
! M_tot in μB/cell: 12.0
! E_form (uncorrected) in meV per atom: -2210
! SG: P2_1/c
! Volume in Å³ per atom: 15.8
&SYSTEM
  ibrav = 0, nat = 20, ntyp = 4
/
ATOMIC_SPECIES
Sr 87.62 Sr.upf
Eu 151.96 Eu.upf
Bi 208.98 Bi.upf
O 16.00 O.upf
CELL_PARAMETERS angstrom
5.9963 0.0000 0.0000
0.0000 6.1566 0.0000
-5.9709 0.0000 8.5659
ATOMIC_POSITIONS angstrom
Sr -0.0737 0.2945 2.1453
Sr -3.0592 2.7838 6.4282
Sr 3.0846 3.3728 2.1377
Sr 0.0991 5.8621 6.4206
Eu 2.9982 0.0000 0.0000
Eu 0.0127 3.0783 4.2829
Bi -2.9854 0.0000 4.2829
Bi 0.0000 3.0783 0.0000
O -4.8175 1.3209 8.0794
O -1.8320 1.7574 3.7964
O -4.2518 4.2880 8.1219
O -1.2664 4.9470 3.8389
O -2.3708 0.2480 6.3351
O 0.6146 2.8304 2.0522
O -0.5892 3.3263 6.5137
O 2.3962 5.9087 2.2307
O 1.2918 1.2096 4.7270
O 4.2773 1.8687 0.4440
O 1.8575 4.3992 4.7694
O 4.8429 4.8358 0.4865

# 2
! AlCu2Se PBE optimized geometry; values from VASP
! M_tot in μB/cell: 0.0
! E_form (uncorrected) in meV per atom: -18
! SG: Pm
! Volume in Å³ per atom: 15.8
&SYSTEM
  ibrav = 0, nat = 4, ntyp = 3
/
ATOMIC_SPECIES
Al 26.98 Al.upf
Cu 63.55 Cu.upf
Se 78.96 Se.upf
CELL_PARAMETERS angstrom
2.7423 0.0000 0.0000
0.0000 3.4588 0.0000
-0.0167 0.0000 6.6616
ATOMIC_POSITIONS angstrom
Al 0.0000 0.0000 0.0000
Cu -0.0014 0.0000 2.6872
Cu 1.3711 1.7294 1.3492
Se 2.7306 1.7294 4.5549

# 3
! Sr2SbPd6Au PBE optimized geometry; values from VASP
! M_tot in μB/cell: 0.0
! E_form (uncorrected) in meV per atom: -516
! SG: P-1
! Volume in Å³ per atom: 22.5
&SYSTEM
  ibrav = 0, nat = 10, ntyp = 4
/
ATOMIC_SPECIES
Sr 87.62 Sr.upf
Sb 121.76 Sb.upf
Pd 106.42 Pd.upf
Au 196.97 Au.upf
CELL_PARAMETERS angstrom
5.5556 0.0000 0.0000
2.7766 6.2231 0.0000
2.7723 0.1329 6.5007
ATOMIC_POSITIONS angstrom
Sr 1.3880 1.5332 1.3382
Sr 9.7165 4.8228 5.1626
Sb 4.1639 0.0664 3.2504
Pd 2.7368 1.5508 4.8315
Pd 4.1729 2.6631 2.7028
Pd 5.5184 4.8120 1.6599
Pd 5.5860 1.5440 4.8409
Pd 6.9316 3.6929 3.7979
Pd 8.3676 4.8052 1.6692
Au 4.1661 3.1116 0.0000

# 4
! TbPm2HoEr2 PBE optimized geometry; values from VASP
! M_tot in μB/cell: 0.0
! Formation enthalpy at 0 K in meV per atom: 69
! SG: Pmma
! Volume in Å³ per atom: 32.0
&SYSTEM
  ibrav = 0, nat = 12, ntyp = 4
/
ATOMIC_SPECIES
Tb 158.93 Tb.upf
Pm 145.00 Pm.upf
Ho 164.93 Ho.upf
Er 167.26 Er.upf
CELL_PARAMETERS angstrom
6.9708 0.0000 0.0000
0.0000 5.6361 0.0000
0.0000 0.0000 9.7612
ATOMIC_POSITIONS angstrom
Tb 0.0000 0.0000 0.0000
Tb 3.4854 0.0000 0.0000
Pm 0.0000 2.8180 4.8806
Pm 1.7427 0.0000 3.1875
Pm 3.4854 2.8180 4.8806
Pm 5.2281 0.0000 6.5737
Ho 1.7427 2.8180 8.1799
Ho 5.2281 2.8180 1.5813
Er 1.7427 0.0000 6.4814
Er 1.7427 2.8180 1.6344
Er 5.2281 0.0000 3.2797
Er 5.2281 2.8180 8.1268

# 5
! KY2CuHg PBE optimized geometry; values from VASP
! M_tot in μB/cell: 0.0
! Formation enthalpy at 0 K in meV per atom: 1419
! SG: P4/mmm
! Volume in Å³ per atom: 33.7
&SYSTEM
  ibrav = 0, nat = 5, ntyp = 4
/
ATOMIC_SPECIES
K 39.10 K.upf
Y 88.91 Y.upf
Cu 63.55 Cu.upf
Hg 200.59 Hg.upf
CELL_PARAMETERS angstrom
5.6314 0.0000 0.0000
0.0000 5.6314 0.0000
0.0000 0.0000 5.3137
ATOMIC_POSITIONS angstrom
K 0.0000 0.0000 0.0000
Y 0.0000 2.8157 0.0000
Y 2.8157 0.0000 0.0000
Cu 2.8157 2.8157 2.6569
Hg 0.0000 0.0000 2.6569

# 6
! LaHf2Tl PBE optimized geometry; values from VASP
! M_tot in μB/cell: 0.0
! Formation enthalpy at 0 K in meV per atom: 408
! SG: I-42d
! Excess energy over the best structure of this formula in the dataset in meV/atom: 95
! Volume in Å³ per atom: 27.3
&SYSTEM
  ibrav = 0, nat = 16, ntyp = 3
/
ATOMIC_SPECIES
La 138.91 La.upf
Hf 178.49 Hf.upf
Tl 204.38 Tl.upf
CELL_PARAMETERS angstrom
4.5027 0.0000 0.0000
0.0000 4.5027 0.0000
0.0000 0.0000 21.5570
ATOMIC_POSITIONS angstrom
La 0.0000 0.0000 0.0000
La 0.0000 2.2514 5.3893
La 2.2514 0.0000 16.1678
La 2.2514 2.2514 10.7785
Hf 1.0975 1.1257 13.4731
Hf 1.1257 3.3489 18.8624
Hf 1.1257 3.4052 8.0839
Hf 1.1538 1.1257 2.6946
Hf 3.3489 3.3770 2.6946
Hf 3.3770 1.0975 8.0839
Hf 3.3770 1.1538 18.8624
Hf 3.4052 3.3770 13.4731
Tl 0.0000 0.0000 10.7785
Tl 0.0000 2.2514 16.1678
Tl 2.2514 0.0000 5.3893
Tl 2.2514 2.2514 0.0000

# 7
! Tb3SmTh3 PBE optimized geometry; values from VASP
! M_tot in μB/cell: 0.0
! Formation enthalpy at 0 K in meV per atom: 65
! SG: P6_3/m
! Excess energy over the best structure of this formula in the dataset in meV/atom: 18
! Volume in Å³ per atom: 32.8
&SYSTEM
  ibrav = 0, nat = 14, ntyp = 3
/
ATOMIC_SPECIES
Tb 158.93 Tb.upf
Sm 150.36 Sm.upf
Th 232.04 Th.upf
CELL_PARAMETERS angstrom
9.5250 0.0000 0.0000
-4.7625 8.2489 0.0000
0.0000 0.0000 5.8478
ATOMIC_POSITIONS angstrom
Tb -0.7328 1.9701 1.4620
Tb -2.6899 7.8984 1.4620
Tb 1.3398 1.6197 4.3859
Tb 3.4227 6.6291 1.4620
Tb 7.4524 0.3504 4.3859
Tb 5.4953 6.2787 4.3859
Sm 0.0000 5.4992 1.4620
Sm 4.7625 2.7496 4.3859
Th -1.3413 4.0045 4.3859
Th -0.6238 7.4082 4.3859
Th 2.7974 3.1639 1.4620
Th 1.9651 5.0850 4.3859
Th 5.3863 0.8407 1.4620
Th 6.1038 4.2443 1.4620

# 8
! ZrInRh2 PBE optimized geometry; values from VASP
! M_tot in μB/cell: 0.0
! Formation enthalpy at 0 K in meV per atom: -59
! SG: R3m
! Volume in Å³ per atom: 19.1
&SYSTEM
  ibrav = 0, nat = 12, ntyp = 3
/
ATOMIC_SPECIES
Zr 91.22 Zr.upf
In 114.82 In.upf
Rh 102.91 Rh.upf
CELL_PARAMETERS angstrom
3.2175 0.0000 0.0000
-1.6088 2.7865 0.0000
0.0000 0.0000 25.6164
ATOMIC_POSITIONS angstrom
Zr 0.0000 0.0000 0.0000
Zr 0.0000 1.8576 17.0776
Zr 1.6088 0.9288 8.5388
In 0.0000 0.0000 19.7132
In 0.0000 1.8576 11.1744
In 1.6088 0.9288 2.6356
Rh 0.0000 0.0000 6.7522
Rh 0.0000 0.0000 13.1540
Rh 0.0000 1.8576 4.6152
Rh 0.0000 1.8576 23.8298
Rh 1.6088 0.9288 15.2910
Rh 1.6088 0.9288 21.6928